The following is a DFT calculation (GGA+U) of an optimized crystal structure of Ni3MoO.

abc: 4.0658 4.0658 4.0658
angles: 90.00 90.00 90.00
Closest atoms and distances in Å follow each position.
Space group Pm-3m (No. 221)
Symmetry-distinct sites (fractional):
Ni  0.0000  0.0000  0.5000 x3  2 O 2.03
Mo  0.5000  0.5000  0.5000 x1  12 Ni 2.87
O  0.0000  0.0000  0.0000 x1  6 Ni 2.03

Output
Volume ... 13.44 A^3/atom
Raw total energy ... -3.352 eV per atom
ΔE to the lowest computed polymorph ... 0 meV/atom